Entry 1:
GGA-PBEsol BaLu2Se4, relaxed; formation energy from raw total energies = -1323 kJ/mol of formula units; total magnetic moment = 0.00 μB per formula unit; total energy = -164.02 eV per cell
1.0
12.518 0.000 0.000
0.000 4.076 0.000
0.000 0.000 14.764
Ba Lu Se
4 8 16
Direct
0.240 0.250 0.166
0.260 0.750 0.666
0.740 0.250 0.334
0.760 0.750 0.834
0.063 0.250 0.392
0.079 0.250 0.901
0.421 0.750 0.401
0.437 0.750 0.892
0.563 0.250 0.108
0.579 0.250 0.599
0.921 0.750 0.099
0.937 0.750 0.608
0.025 0.750 0.783
0.085 0.250 0.577
0.125 0.750 0.025
0.206 0.750 0.343
0.294 0.250 0.843
0.375 0.250 0.525
0.415 0.750 0.077
0.475 0.250 0.283
0.525 0.750 0.717
0.585 0.250 0.923
0.625 0.750 0.475
0.706 0.750 0.157
0.794 0.250 0.657
0.875 0.250 0.975
0.915 0.750 0.423
0.975 0.250 0.217


Entry 2:
GGA-PBEsol Ba5Mg4, relaxed; DFT formation energy = 38.2 meV/atom; total magnetic moment = 0.00 μB per formula unit; total energy = -34.54 eV per cell
1.0
10.914 0.000 0.000
-5.457 9.452 0.000
0.000 0.000 7.464
Ba Mg
10 8
Direct
0.000 0.294 0.250
0.000 0.706 0.750
0.294 0.000 0.250
0.294 0.294 0.750
0.333 0.667 0.000
0.333 0.667 0.500
0.667 0.333 0.000
0.667 0.333 0.500
0.706 0.000 0.750
0.706 0.706 0.250
0.000 0.000 0.000
0.000 0.000 0.500
0.000 0.373 0.750
0.000 0.627 0.250
0.373 0.000 0.750
0.373 0.373 0.250
0.627 0.000 0.250
0.627 0.627 0.750


Entry 3:
GGA-PBEsol BaMg3, relaxed; DFT formation energy = 80.7 meV/atom; total magnetic moment = 0.00 μB per formula unit; total energy = -6.98 eV per cell
1.0
5.038 0.000 0.000
0.000 5.038 0.000
0.000 0.000 5.038
Ba Mg
1 3
Direct
0.000 0.000 0.000
0.000 0.500 0.500
0.500 0.000 0.500
0.500 0.500 0.000